(1)
Ca2Si2Pt3 | Alexandria via LeMat-Bulk | PBE | optimized geometry; space-group type = No. 12; energy = -5.61 eV per atom
1.0
5.354 -1.930 0.000
5.354 1.930 0.000
-3.315 0.000 6.383
Ca Si Pt
2 2 3
Direct
0.131 0.131 0.267 Ca
0.869 0.869 0.733 Ca
0.146 0.146 0.731 Si
0.854 0.854 0.269 Si
0.368 0.368 0.061 Pt
0.500 0.500 0.500 Pt
0.632 0.632 0.939 Pt



(2)
SmDyI | Alexandria via LeMat-Bulk | PBE | optimized geometry; space-group type = No. 166; energy above the most stable polymorph in this dataset = 0 meV per atom
1.0
1.930 1.114 17.056
-1.930 1.114 17.056
0.000 -2.228 17.056
Sm Dy I
2 2 2
Direct
0.195 0.195 0.195 Sm
0.805 0.805 0.805 Sm
0.084 0.084 0.084 Dy
0.916 0.916 0.916 Dy
0.375 0.375 0.375 I
0.625 0.625 0.625 I



(3)
CaNi2Ir2 | Alexandria via LeMat-Bulk | PBE | optimized geometry; space-group type = No. 139; ΔH_f (0 K) = 0.7 kcal/mol of atoms; energy above the most stable polymorph in this dataset = 44 meV per atom
1.0
-1.952 1.952 5.353
1.952 -1.952 5.353
1.952 1.952 -5.353
Ca Ni Ir
1 2 2
Direct
0.000 0.000 0.000 Ca
0.393 0.393 0.000 Ni
0.607 0.607 0.000 Ni
0.250 0.750 0.500 Ir
0.750 0.250 0.500 Ir



(4)
Ga2Ni4Ru | Alexandria via LeMat-Bulk | PBE | optimized geometry; space-group type = No. 139; ΔH_f (0 K) = 19.1 kcal/mol of atoms
1.0
-2.229 2.229 6.062
2.229 -2.229 6.062
2.229 2.229 -6.062
Ga Ni Ru
2 4 1
Direct
0.113 0.113 0.000 Ga
0.887 0.887 0.000 Ga
0.000 0.500 0.500 Ni
0.305 0.305 0.000 Ni
0.500 0.000 0.500 Ni
0.695 0.695 0.000 Ni
0.500 0.500 0.000 Ru



(5)
CoMoPt | Alexandria via LeMat-Bulk | PBE | optimized geometry; space-group type = No. 156; ΔH_f (0 K) = 0.6 kcal/mol of atoms; energy above the most stable polymorph in this dataset = 193 meV per atom
1.0
2.740 0.000 0.000
-1.370 2.372 0.000
0.000 0.000 6.558
Co Mo Pt
1 1 1
Direct
0.000 0.000 0.000 Co
0.333 0.667 0.312 Mo
0.667 0.333 0.667 Pt



(6)
AcYRh2 | Alexandria via LeMat-Bulk | PBE | optimized geometry; space-group type = No. 166; ΔH_f (0 K) = -14.0 kcal/mol of atoms; energy above the most stable polymorph in this dataset = 93 meV per atom
1.0
2.290 1.322 5.367
-2.290 1.322 5.367
0.000 -2.644 5.367
Ac Y Rh
1 1 2
Direct
0.000 0.000 0.000 Ac
0.500 0.500 0.500 Y
0.224 0.224 0.224 Rh
0.776 0.776 0.776 Rh



(7)
SrLiSi2S | Alexandria via LeMat-Bulk | PBE | optimized geometry; space-group type = No. 123; energy = -3.57 eV per atom
1.0
4.872 0.000 0.000
0.000 4.872 0.000
0.000 0.000 5.367
Sr Li Si S
1 1 2 1
Direct
0.000 0.000 0.000 Sr
0.500 0.500 0.000 Li
0.000 0.500 0.500 Si
0.500 0.000 0.500 Si
0.000 0.000 0.500 S



(8)
HoGe4Rh5 | Alexandria via LeMat-Bulk | PBE | optimized geometry; space-group type = No. 59; ΔH_f (0 K) = -12.0 kcal/mol of atoms
1.0
7.089 0.000 0.000
0.000 8.647 0.000
0.000 0.000 5.660
Ho Ge Rh
2 8 10
Direct
0.250 0.250 0.023 Ho
0.750 0.750 0.977 Ho
0.061 0.250 0.540 Ge
0.250 0.590 0.984 Ge
0.250 0.910 0.984 Ge
0.439 0.250 0.540 Ge
0.561 0.750 0.460 Ge
0.750 0.090 0.016 Ge
0.750 0.410 0.016 Ge
0.939 0.750 0.460 Ge
0.017 0.005 0.261 Rh
0.017 0.495 0.261 Rh
0.250 0.750 0.636 Rh
0.483 0.005 0.261 Rh
0.483 0.495 0.261 Rh
0.517 0.505 0.739 Rh
0.517 0.995 0.739 Rh
0.750 0.250 0.364 Rh
0.983 0.505 0.739 Rh
0.983 0.995 0.739 Rh



(9)
HfRe2AgSn | Alexandria via LeMat-Bulk | PBE | optimized geometry; space-group type = No. 123; ΔH_f (0 K) = 46.9 kcal/mol of atoms; energy above the most stable polymorph in this dataset = 0 meV per atom
1.0
4.916 0.000 0.000
0.000 4.916 0.000
0.000 0.000 4.708
Hf Re Ag Sn
1 2 1 1
Direct
0.000 0.000 0.000 Hf
0.000 0.500 0.500 Re
0.500 0.000 0.500 Re
0.500 0.500 0.500 Ag
0.500 0.500 0.000 Sn



(10)
TlNi2P2 | Alexandria via LeMat-Bulk | PBE | optimized geometry; space-group type = No. 139; ΔH_f (0 K) = -5.7 kcal/mol of atoms; energy above the most stable polymorph in this dataset = 0 meV per atom
1.0
-1.940 1.940 6.157
1.940 -1.940 6.157
1.940 1.940 -6.157
Tl Ni P
1 2 2
Direct
0.000 0.000 0.000 Tl
0.250 0.750 0.500 Ni
0.750 0.250 0.500 Ni
0.339 0.339 0.000 P
0.661 0.661 0.000 P



(11)
Na2AcGeSe4 | Alexandria via LeMat-Bulk | PBE | optimized geometry; space-group type = No. 74; energy = -4.23 eV per atom
1.0
-4.070 4.451 6.024
4.070 -4.451 6.024
4.070 4.451 -6.024
Na Ac Ge Se
4 2 2 8
Direct
0.000 0.000 0.000 Na
0.500 0.000 0.000 Na
0.500 0.000 0.500 Na
0.500 0.500 0.500 Na
0.000 0.500 0.500 Ac
0.500 0.500 0.000 Ac
0.000 0.000 0.500 Ge
0.000 0.500 0.000 Ge
0.209 0.244 0.965 Se
0.221 0.756 0.465 Se
0.238 0.230 0.493 Se
0.238 0.745 0.007 Se
0.762 0.255 0.993 Se
0.762 0.770 0.507 Se
0.779 0.244 0.535 Se
0.791 0.756 0.035 Se



(12)
LiLaNF2 | Alexandria via LeMat-Bulk | PBE | optimized geometry; space-group type = No. 123; energy above the most stable polymorph in this dataset = 0 meV per atom
1.0
3.754 0.000 0.000
0.000 3.754 0.000
0.000 0.000 4.275
Li La N F
1 1 1 2
Direct
0.000 0.000 0.000 Li
0.500 0.500 0.500 La
0.000 0.000 0.500 N
0.000 0.500 0.000 F
0.500 0.000 0.000 F



(13)
Ba3Na9Sr2 | Alexandria via LeMat-Bulk | PBE | optimized geometry; space-group type = No. 71; ΔH_f (0 K) = 0.8 kcal/mol of atoms
1.0
-3.037 5.911 9.103
3.037 -5.911 9.103
3.037 5.911 -9.103
Ba Na Sr
3 9 2
Direct
0.000 0.000 0.000 Ba
0.291 0.291 0.000 Ba
0.709 0.709 0.000 Ba
0.030 0.671 0.360 Na
0.144 0.858 0.286 Na
0.311 0.671 0.640 Na
0.428 0.142 0.286 Na
0.500 0.000 0.500 Na
0.572 0.858 0.714 Na
0.689 0.329 0.360 Na
0.856 0.142 0.714 Na
0.970 0.329 0.640 Na
0.311 0.500 0.811 Sr
0.689 0.500 0.189 Sr



(14)
AlZn2Fe | Alexandria via LeMat-Bulk | PBE | optimized geometry; space-group type = No. 25; ΔH_f (0 K) = -0.7 kcal/mol of atoms
1.0
2.757 0.000 0.000
0.000 3.593 0.000
0.000 0.000 5.494
Al Zn Fe
1 2 1
Direct
0.000 0.000 0.000 Al
0.000 0.000 0.467 Zn
0.500 0.500 0.718 Zn
0.500 0.500 0.212 Fe



(15)
PrNd2Pu3Se6 | Alexandria via LeMat-Bulk | PBE | optimized geometry; space-group type = No. 12; energy = -8.22 eV per atom
1.0
9.154 -2.091 0.000
9.154 2.091 0.000
-1.989 0.000 8.167
Pr Nd Pu Se
1 2 3 6
Direct
0.000 0.000 0.000 Pr
0.333 0.333 0.667 Nd
0.667 0.667 0.333 Nd
0.000 0.000 0.500 Pu
0.334 0.334 0.167 Pu
0.666 0.666 0.833 Pu
0.165 0.165 0.587 Se
0.169 0.169 0.079 Se
0.498 0.498 0.256 Se
0.502 0.502 0.744 Se
0.831 0.831 0.921 Se
0.835 0.835 0.413 Se



(16)
SrLiTl | Alexandria via LeMat-Bulk | PBE | optimized geometry; space-group type = No. 216; ΔH_f (0 K) = -1.3 kcal/mol of atoms; energy above the most stable polymorph in this dataset = 229 meV per atom
1.0
0.000 3.801 3.801
3.801 0.000 3.801
3.801 3.801 0.000
Sr Li Tl
1 1 1
Direct
0.000 0.000 0.000 Sr
0.500 0.500 0.500 Li
0.250 0.250 0.250 Tl



(17)
La3Sm8Mg | Alexandria via LeMat-Bulk | PBE | optimized geometry; space-group type = No. 121; ΔH_f (0 K) = 11.6 kcal/mol of atoms
1.0
-4.387 4.387 5.705
4.387 -4.387 5.705
4.387 4.387 -5.705
La Sm Mg
3 8 1
Direct
0.000 0.000 0.000 La
0.250 0.750 0.500 La
0.750 0.250 0.500 La
0.128 0.377 0.000 Sm
0.250 0.250 0.510 Sm
0.260 0.750 0.000 Sm
0.377 0.128 0.000 Sm
0.623 0.623 0.751 Sm
0.740 0.740 0.490 Sm
0.750 0.260 0.000 Sm
0.872 0.872 0.249 Sm
0.500 0.500 0.000 Mg



(18)
Nd4YTm3Se8 | Alexandria via LeMat-Bulk | PBE | optimized geometry; space-group type = No. 166; energy = -5.95 eV per atom
1.0
4.073 2.352 6.958
-4.073 2.352 6.958
0.000 -4.703 6.958
Nd Y Tm Se
4 1 3 8
Direct
0.000 0.000 0.000 Nd
0.000 0.500 0.500 Nd
0.500 0.000 0.500 Nd
0.500 0.500 0.000 Nd
0.500 0.500 0.500 Y
0.000 0.000 0.500 Tm
0.000 0.500 0.000 Tm
0.500 0.000 0.000 Tm
0.240 0.745 0.745 Se
0.243 0.243 0.243 Se
0.255 0.255 0.760 Se
0.255 0.760 0.255 Se
0.745 0.240 0.745 Se
0.745 0.745 0.240 Se
0.757 0.757 0.757 Se
0.760 0.255 0.255 Se



(19)
KHg2POs | Alexandria via LeMat-Bulk | PBE | optimized geometry; space-group type = No. 123; ΔH_f (0 K) = 30.6 kcal/mol of atoms
1.0
5.145 0.000 0.000
0.000 5.145 0.000
0.000 0.000 6.161
K Hg P Os
1 2 1 1
Direct
0.000 0.000 0.000 K
0.000 0.500 0.500 Hg
0.500 0.000 0.500 Hg
0.000 0.000 0.500 P
0.500 0.500 0.000 Os



(20)
LaRe2W | Alexandria via LeMat-Bulk | PBE | optimized geometry; space-group type = No. 65; ΔH_f (0 K) = 10.2 kcal/mol of atoms; energy above the most stable polymorph in this dataset = 106 meV per atom
1.0
1.588 -2.378 0.000
1.588 2.378 0.000
0.000 0.000 9.596
La Re W
1 2 1
Direct
0.000 0.000 0.000 La
0.500 0.500 0.281 Re
0.500 0.500 0.719 Re
0.000 0.000 0.500 W